Entry 1:
Here is a relaxed structure of Ac2TmMnSe6 from the Alexandria database. Energies are from PBE-GGA.

Properties
Formation energy without anion corrections (eV/atom): -1.579
DOS at the Fermi energy (states/eV/cell): 4.0

Lattice parameters (Å, degrees): 6.9550 7.7963 12.1690 90.00 124.11 90.00
Fractional coordinates of all 20 atoms:
1 Ac 0.2086 0.1029 0.2470
2 Ac 0.2086 0.3971 0.7470
3 Ac 0.7914 0.6029 0.2530
4 Ac 0.7914 0.8971 0.7530
5 Tm 0.5000 0.0000 0.0000
6 Tm 0.5000 0.5000 0.5000
7 Mn 0.0000 0.0000 0.5000
8 Mn 0.0000 0.5000 0.0000
9 Se 0.1208 0.1886 0.9460
10 Se 0.1208 0.3114 0.4460
11 Se 0.2608 0.6768 0.9510
12 Se 0.2608 0.8232 0.4510
13 Se 0.3445 0.0185 0.7353
14 Se 0.3445 0.4815 0.2353
15 Se 0.6555 0.5185 0.7647
16 Se 0.6555 0.9815 0.2647
17 Se 0.7392 0.1768 0.5490
18 Se 0.7392 0.3232 0.0490
19 Se 0.8792 0.6886 0.5540
20 Se 0.8792 0.8114 0.0540



Entry 2:
Here is a relaxed structure of Ru3W3C2 from the Alexandria database. Energies are from PBE-GGA.

Properties
DOS at the Fermi energy (states/eV/cell): 6.9
Energy of formation from the pure elements (eV/atom): 0.46

Lattice parameters (Å, degrees): 2.8605 2.8605 14.5789 90.00 90.00 120.00
Fractional coordinates of all 8 atoms:
1 Ru 0.0000 0.0000 0.0000
2 Ru 0.3333 0.6667 0.8164
3 Ru 0.6667 0.3333 0.1836
4 W 0.0000 0.0000 0.5000
5 W 0.3333 0.6667 0.3356
6 W 0.6667 0.3333 0.6644
7 C 0.3333 0.6667 0.0988
8 C 0.6667 0.3333 0.9012



Entry 3:
Here is a relaxed structure of Ca2SnAs2 from the Alexandria database. Energies are from PBE-GGA.

Properties
DOS at the Fermi energy (states/eV/cell): 7.0
Offset from the most stable computed form (eV per formula unit): 0.00
Energy of formation from the pure elements (eV/atom): -0.78

Lattice parameters (Å, degrees): 7.7724 7.7724 4.1499 90.00 90.00 90.00
Fractional coordinates of all 10 atoms:
1 Ca 0.1632 0.3368 0.0000
2 Ca 0.3368 0.8368 0.0000
3 Ca 0.6632 0.1632 0.0000
4 Ca 0.8368 0.6632 0.0000
5 Sn 0.0000 0.0000 0.5000
6 Sn 0.5000 0.5000 0.5000
7 As 0.1377 0.6377 0.5000
8 As 0.3623 0.1377 0.5000
9 As 0.6377 0.8623 0.5000
10 As 0.8623 0.3623 0.5000



Entry 4:
Here is a relaxed structure of Zn8Ag5Pt from the Alexandria database. Energies are from PBE-GGA.

Properties
DOS at the Fermi energy (states/eV/cell): 3.3
Energy of formation from the pure elements (eV/atom): -0.02

Lattice parameters (Å, degrees): 6.7831 6.7831 6.7831 106.86 106.86 114.84
Fractional coordinates of all 14 atoms:
1 Zn 0.0888 0.3850 0.6055
2 Zn 0.1070 0.4532 0.0822
3 Zn 0.3710 0.0248 0.9178
4 Zn 0.5167 0.9112 0.2962
5 Zn 0.5468 0.6290 0.6538
6 Zn 0.6150 0.2205 0.7038
7 Zn 0.7795 0.4833 0.3945
8 Zn 0.9752 0.8930 0.3462
9 Ag 0.3006 0.2186 0.2635
10 Ag 0.5000 0.5000 0.0000
11 Ag 0.7814 0.0449 0.0820
12 Ag 0.9551 0.0371 0.7365
13 Ag 0.9629 0.6994 0.9180
14 Pt 0.2500 0.7500 0.5000



Entry 5:
Here is a relaxed structure of NaCu3Au from the Alexandria database. Energies are from PBE-GGA.

Properties
DOS at the Fermi energy (states/eV/cell): 1.8
Offset from the most stable computed form (eV per formula unit): 3.49
Energy of formation from the pure elements (eV/atom): 1.17

Lattice parameters (Å, degrees): 4.4768 4.4768 4.4768 90.00 90.00 90.00
Fractional coordinates of all 5 atoms:
1 Na 0.0000 0.0000 0.0000
2 Cu 0.0000 0.0000 0.5000
3 Cu 0.0000 0.5000 0.0000
4 Cu 0.5000 0.0000 0.0000
5 Au 0.5000 0.5000 0.5000



Entry 6:
Here is a relaxed structure of ReMo6W12 from the Alexandria database. Energies are from PBE-GGA.

Properties
DOS at the Fermi energy (states/eV/cell): 14.3
Energy of formation from the pure elements (eV/atom): 0.45

Lattice parameters (Å, degrees): 7.2117 7.2117 7.2117 106.10 106.10 106.10
Fractional coordinates of all 19 atoms:
1 Re 0.0000 0.0000 0.0000
2 Mo 0.1246 0.4156 0.1976
3 Mo 0.1976 0.1246 0.4156
4 Mo 0.4156 0.1976 0.1246
5 Mo 0.5844 0.8024 0.8754
6 Mo 0.8024 0.8754 0.5844
7 Mo 0.8754 0.5844 0.8024
8 W 0.0710 0.2845 0.7999
9 W 0.1882 0.5193 0.6014
10 W 0.2001 0.9290 0.7155
11 W 0.2845 0.7999 0.0710
12 W 0.3986 0.8118 0.4807
13 W 0.4807 0.3986 0.8118
14 W 0.5193 0.6014 0.1882
15 W 0.6014 0.1882 0.5193
16 W 0.7155 0.2001 0.9290
17 W 0.7999 0.0710 0.2845
18 W 0.8118 0.4807 0.3986
19 W 0.9290 0.7155 0.2001



Entry 7:
Here is a relaxed structure of YAsBr2 from the Alexandria database. Energies are from PBE-GGA.

Properties
Formation energy without anion corrections (eV/atom): -0.748
DOS at the Fermi energy (states/eV/cell): 4.1
Offset from the most stable computed form (eV per formula unit): 1.49

Lattice parameters (Å, degrees): 6.4858 6.5874 9.9704 90.00 90.00 90.00
Fractional coordinates of all 16 atoms:
1 Y 0.0000 0.0000 0.0000
2 Y 0.0000 0.5000 0.5000
3 Y 0.5000 0.0000 0.5000
4 Y 0.5000 0.5000 0.0000
5 As 0.0000 0.0000 0.5000
6 As 0.0000 0.5000 0.0000
7 As 0.5000 0.0000 0.0000
8 As 0.5000 0.5000 0.5000
9 Br 0.2500 0.0000 0.2500
10 Br 0.2500 0.0000 0.7500
11 Br 0.2500 0.5000 0.2500
12 Br 0.2500 0.5000 0.7500
13 Br 0.7500 0.0000 0.2500
14 Br 0.7500 0.0000 0.7500
15 Br 0.7500 0.5000 0.2500
16 Br 0.7500 0.5000 0.7500



Entry 8:
Here is a relaxed structure of LaBN2F from the Alexandria database. Energies are from PBE-GGA.

Properties
Formation energy without anion corrections (eV/atom): -0.844
DOS at the Fermi energy (states/eV/cell): 1.5
Offset from the most stable computed form (eV per formula unit): 3.21

Lattice parameters (Å, degrees): 3.4911 3.4911 4.1590 90.00 90.00 90.00
Fractional coordinates of all 5 atoms:
1 La 0.0000 0.0000 0.0000
2 B 0.5000 0.5000 0.5000
3 N 0.0000 0.5000 0.5000
4 N 0.5000 0.0000 0.5000
5 F 0.5000 0.5000 0.0000



Entry 9:
Here is a relaxed structure of CeAlCu4 from the Alexandria database. Energies are from PBE-GGA.

Properties
DOS at the Fermi energy (states/eV/cell): 8.6
Energy of formation from the pure elements (eV/atom): -0.18

Lattice parameters (Å, degrees): 5.2699 5.2699 4.0192 90.00 90.00 120.00
Fractional coordinates of all 6 atoms:
1 Ce 0.0000 0.0000 0.0000
2 Al 0.3333 0.6667 0.0000
3 Cu 0.5010 0.0020 0.5000
4 Cu 0.5010 0.4990 0.5000
5 Cu 0.6667 0.3333 0.0000
6 Cu 0.9980 0.4990 0.5000



Entry 10:
Here is a relaxed structure of K3Nb3NiSe8 from the Alexandria database. Energies are from PBE-GGA.

Properties
Formation energy without anion corrections (eV/atom): -0.785
DOS at the Fermi energy (states/eV/cell): 8.7

Lattice parameters (Å, degrees): 7.4426 7.4426 9.0113 114.24 114.24 60.24
Fractional coordinates of all 15 atoms:
1 K 0.0000 0.0000 0.0000
2 K 0.0000 0.5000 0.0000
3 K 0.5000 0.0000 0.0000
4 Nb 0.0000 0.5000 0.5000
5 Nb 0.5000 0.0000 0.5000
6 Nb 0.5000 0.5000 0.5000
7 Ni 0.0000 0.0000 0.5000
8 Se 0.2223 0.2223 0.6839
9 Se 0.2227 0.7383 0.6837
10 Se 0.2617 0.7773 0.3163
11 Se 0.2666 0.2666 0.2999
12 Se 0.7334 0.7334 0.7001
13 Se 0.7383 0.2227 0.6837
14 Se 0.7773 0.2617 0.3163
15 Se 0.7777 0.7777 0.3161



Entry 11:
Here is a relaxed structure of Ca2Dy4Ge3O2 from the Alexandria database. Energies are from PBE-GGA.

Properties
Formation energy without anion corrections (eV/atom): -1.570
DOS at the Fermi energy (states/eV/cell): 2.5

Lattice parameters (Å, degrees): 12.2182 12.2182 12.2182 158.17 158.17 31.06
Fractional coordinates of all 11 atoms:
1 Ca 0.2002 0.2002 0.0000
2 Ca 0.7998 0.7998 0.0000
3 Dy 0.0845 0.5845 0.5000
4 Dy 0.4155 0.9155 0.5000
5 Dy 0.5845 0.0845 0.5000
6 Dy 0.9155 0.4155 0.5000
7 Ge 0.3309 0.3309 0.0000
8 Ge 0.5000 0.5000 0.0000
9 Ge 0.6691 0.6691 0.0000
10 O 0.0946 0.0946 0.0000
11 O 0.9054 0.9054 0.0000



Entry 12:
Here is a relaxed structure of NpAsPPd from the Alexandria database. Energies are from PBE-GGA.

Properties
DOS at the Fermi energy (states/eV/cell): 42.8
Energy of formation from the pure elements (eV/atom): -0.32

Lattice parameters (Å, degrees): 6.6007 6.6007 6.6007 90.00 90.00 90.00
Fractional coordinates of all 16 atoms:
1 Np 0.0000 0.0000 0.0000
2 Np 0.0000 0.5000 0.5000
3 Np 0.5000 0.0000 0.5000
4 Np 0.5000 0.5000 0.0000
5 As 0.2500 0.2500 0.7500
6 As 0.2500 0.7500 0.2500
7 As 0.7500 0.2500 0.2500
8 As 0.7500 0.7500 0.7500
9 P 0.2500 0.2500 0.2500
10 P 0.2500 0.7500 0.7500
11 P 0.7500 0.2500 0.7500
12 P 0.7500 0.7500 0.2500
13 Pd 0.0000 0.0000 0.5000
14 Pd 0.0000 0.5000 0.0000
15 Pd 0.5000 0.0000 0.0000
16 Pd 0.5000 0.5000 0.5000



Entry 13:
Here is a relaxed structure of RbTl2AuBr8 from the Alexandria database. Energies are from PBE-GGA.

Properties
Formation energy without anion corrections (eV/atom): -0.566

Lattice parameters (Å, degrees): 11.4378 11.4378 11.4378 35.52 35.52 35.52
Fractional coordinates of all 12 atoms:
1 Rb 0.0000 0.0000 0.0000
2 Tl 0.2489 0.2489 0.2489
3 Tl 0.7511 0.7511 0.7511
4 Au 0.5000 0.5000 0.5000
5 Br 0.1406 0.4142 0.7691
6 Br 0.2309 0.5858 0.8594
7 Br 0.3311 0.3311 0.3311
8 Br 0.4142 0.7691 0.1406
9 Br 0.5858 0.8594 0.2309
10 Br 0.6689 0.6689 0.6689
11 Br 0.7691 0.1406 0.4142
12 Br 0.8594 0.2309 0.5858



Entry 14:
Here is a relaxed structure of NaTbPb2 from the Alexandria database. Energies are from PBE-GGA.

Properties
DOS at the Fermi energy (states/eV/cell): 1.3
Energy of formation from the pure elements (eV/atom): -0.33

Lattice parameters (Å, degrees): 4.9441 4.9441 4.5217 90.00 90.00 90.00
Fractional coordinates of all 4 atoms:
1 Na 0.0000 0.0000 0.0000
2 Tb 0.5000 0.5000 0.0000
3 Pb 0.0000 0.5000 0.5000
4 Pb 0.5000 0.0000 0.5000



Entry 15:
Here is a relaxed structure of BaLa4Cd from the Alexandria database. Energies are from PBE-GGA.

Properties
DOS at the Fermi energy (states/eV/cell): 7.9
Energy of formation from the pure elements (eV/atom): 0.22

Lattice parameters (Å, degrees): 6.8464 6.8464 6.8464 60.00 60.00 60.00
Fractional coordinates of all 6 atoms:
1 Ba 0.0000 0.0000 0.0000
2 La 0.3794 0.3794 0.3794
3 La 0.3794 0.3794 0.8619
4 La 0.3794 0.8619 0.3794
5 La 0.8619 0.3794 0.3794
6 Cd 0.7500 0.7500 0.7500



Entry 16:
Here is a relaxed structure of TbPuTlPt from the Alexandria database. Energies are from PBE-GGA.

Properties
DOS at the Fermi energy (states/eV/cell): 43.3
Energy of formation from the pure elements (eV/atom): -0.44

Lattice parameters (Å, degrees): 7.3291 7.3291 7.3291 90.00 90.00 90.00
Fractional coordinates of all 16 atoms:
1 Tb 0.0000 0.0000 0.0000
2 Tb 0.0000 0.5000 0.5000
3 Tb 0.5000 0.0000 0.5000
4 Tb 0.5000 0.5000 0.0000
5 Pu 0.0000 0.0000 0.5000
6 Pu 0.0000 0.5000 0.0000
7 Pu 0.5000 0.0000 0.0000
8 Pu 0.5000 0.5000 0.5000
9 Tl 0.2500 0.2500 0.2500
10 Tl 0.2500 0.7500 0.7500
11 Tl 0.7500 0.2500 0.7500
12 Tl 0.7500 0.7500 0.2500
13 Pt 0.2500 0.2500 0.7500
14 Pt 0.2500 0.7500 0.2500
15 Pt 0.7500 0.2500 0.2500
16 Pt 0.7500 0.7500 0.7500



Entry 17:
Here is a relaxed structure of ErTm3Sb3 from the Alexandria database. Energies are from PBE-GGA.

Properties
Formation energy without anion corrections (eV/atom): -0.844
DOS at the Fermi energy (states/eV/cell): 10.2
Offset from the most stable computed form (eV per formula unit): 0.57

Lattice parameters (Å, degrees): 7.9366 7.9366 7.9366 67.65 67.65 67.65
Fractional coordinates of all 14 atoms:
1 Er 0.1658 0.1658 0.1658
2 Er 0.8342 0.8342 0.8342
3 Tm 0.1598 0.6759 0.4150
4 Tm 0.3241 0.5850 0.8402
5 Tm 0.4150 0.1598 0.6759
6 Tm 0.5850 0.8402 0.3241
7 Tm 0.6759 0.4150 0.1598
8 Tm 0.8402 0.3241 0.5850
9 Sb 0.0262 0.4203 0.8035
10 Sb 0.1965 0.9738 0.5797
11 Sb 0.4203 0.8035 0.0262
12 Sb 0.5797 0.1965 0.9738
13 Sb 0.8035 0.0262 0.4203
14 Sb 0.9738 0.5797 0.1965



Entry 18:
Here is a relaxed structure of K2OsSe from the Alexandria database. Energies are from PBE-GGA.

Properties
Formation energy without anion corrections (eV/atom): 0.679
DOS at the Fermi energy (states/eV/cell): 5.0

Lattice parameters (Å, degrees): 6.2060 10.3759 2.7997 90.00 90.00 90.00
Fractional coordinates of all 8 atoms:
1 K 0.2500 0.2500 0.0000
2 K 0.2500 0.7500 0.0000
3 K 0.7500 0.2500 0.0000
4 K 0.7500 0.7500 0.0000
5 Os 0.0000 0.0000 0.5000
6 Os 0.5000 0.5000 0.5000
7 Se 0.0000 0.5000 0.5000
8 Se 0.5000 0.0000 0.5000



Entry 19:
Here is a relaxed structure of Nd4PRuCl2 from the Alexandria database. Energies are from PBE-GGA.

Properties
Formation energy without anion corrections (eV/atom): -1.210
DOS at the Fermi energy (states/eV/cell): 5.4

Lattice parameters (Å, degrees): 7.4023 4.0497 7.5147 90.00 106.09 90.00
Fractional coordinates of all 8 atoms:
1 Nd 0.2288 0.0000 0.2105
2 Nd 0.2539 0.5000 0.7963
3 Nd 0.7461 0.5000 0.2037
4 Nd 0.7712 0.0000 0.7895
5 P 0.5000 0.0000 0.0000
6 Ru 0.0000 0.5000 0.0000
7 Cl 0.0000 0.0000 0.5000
8 Cl 0.5000 0.5000 0.5000



Entry 20:
Here is a relaxed structure of CaHoS2F from the Alexandria database. Energies are from PBE-GGA.

Properties
Formation energy without anion corrections (eV/atom): -2.569
DOS at the Fermi energy (states/eV/cell): 4.0

Lattice parameters (Å, degrees): 3.8681 3.8681 13.7968 90.00 90.00 90.00
Fractional coordinates of all 10 atoms:
1 Ca 0.2500 0.2500 0.0978
2 Ca 0.7500 0.7500 0.9022
3 Ho 0.2500 0.2500 0.6255
4 Ho 0.7500 0.7500 0.3745
5 S 0.2500 0.2500 0.4093
6 S 0.2500 0.2500 0.8054
7 S 0.7500 0.7500 0.1946
8 S 0.7500 0.7500 0.5907
9 F 0.2500 0.7500 0.0000
10 F 0.7500 0.2500 0.0000